A plane-wave DFT calculation with PBE with a Hubbard U was carried out for a relaxed NiO4F2 crystal.

Lattice parameters (Å, degrees): 12.2390 5.8503 5.8620 90.00 90.00 90.00
Last column: nearest neighbours and their distance in Å.
Fractional coordinates of all 28 atoms:
Ni  0.2496  0.2284  0.0000  4 F 1.96-2.00
Ni  0.2504  0.2284  0.5000  4 F 1.96-2.00
Ni  0.7496  0.7716  0.0000  4 F 1.96-2.00
Ni  0.7504  0.7716  0.5000  4 F 1.96-2.00
O  0.0426  0.6783  0.4139  1 O 1.22
O  0.0739  0.6611  0.2174  1 O 1.22
O  0.1535  0.9376  0.8534  1 O 1.25
O  0.1548  0.9424  0.6402  1 O 1.25
O  0.3452  0.9424  0.1402  1 O 1.25
O  0.3465  0.9376  0.3534  1 O 1.25
O  0.4261  0.6611  0.7174  1 O 1.22
O  0.4574  0.6783  0.9139  1 O 1.22
O  0.5426  0.3217  0.4139  1 O 1.22
O  0.5739  0.3389  0.2174  1 O 1.22
O  0.6535  0.0624  0.8534  1 O 1.25
O  0.6548  0.0576  0.6402  1 O 1.25
O  0.8452  0.0576  0.1402  1 O 1.25
O  0.8465  0.0624  0.3534  1 O 1.25
O  0.9261  0.3389  0.7174  1 O 1.22
O  0.9574  0.3217  0.9139  1 O 1.22
F  0.1463  0.1786  0.2503  2 Ni 1.96
F  0.1788  0.4059  0.7499  2 Ni 2.00
F  0.3212  0.4059  0.2499  2 Ni 2.00
F  0.3537  0.1786  0.7503  2 Ni 1.96
F  0.6463  0.8214  0.2503  2 Ni 1.96
F  0.6788  0.5941  0.7499  2 Ni 2.00
F  0.8212  0.5941  0.2499  2 Ni 2.00
F  0.8537  0.8214  0.7503  2 Ni 1.96

E_tot, eV/atom: -4.43